No. 1
Entry from Alexandria: a geometry-optimized Si2TeCl structure (PBE-GGA).

Polymorph energy (0 for the lowest one)   687 meV per atom
Size of the total moment   0.00 μB per atom
Density   3.98 g cm⁻³
E_form (uncorrected)   0.485 eV/atom

abc: 3.7408 4.0761 5.9942
angles: 90.00 90.00 90.00
Space group Pmmm (No. 47)
Asymmetric unit:
Si1 0.0000 0.0000 0.0000 x1
Si2 0.5000 0.0000 0.5000 x1
Te1 0.0000 0.5000 0.5000 x1
Cl1 0.5000 0.5000 0.0000 x1

---

No. 2
Entry from Alexandria: a geometry-optimized SiTeCl structure (PBE-GGA).

Polymorph energy (0 for the lowest one)   0 meV per atom
Size of the total moment   0.00 μB per atom
Density   2.82 g cm⁻³
E_form (uncorrected)   -0.523 eV/atom

abc: 3.8562 7.3425 8.9115
angles: 113.47 102.48 90.15
Space group P-1 (No. 2)
Asymmetric unit:
Si1 0.0731 0.0998 0.1457 x2
Te1 0.3818 0.6548 0.7665 x2
Cl1 0.1327 0.9098 0.2675 x2

---

No. 3
Entry from Alexandria: a geometry-optimized Si2TeCl structure (PBE-GGA).

Polymorph energy (0 for the lowest one)   602 meV per atom
Size of the total moment   0.00 μB per atom
Density   3.85 g cm⁻³
E_form (uncorrected)   0.400 eV/atom

abc: 4.3048 3.8754 5.7653
angles: 90.00 100.92 90.00
Space group P2/m (No. 10)
Asymmetric unit:
Si1 0.0000 0.0000 0.0000 x1
Si2 0.5000 0.5000 0.5000 x1
Te1 0.0000 0.0000 0.5000 x1
Cl1 0.5000 0.5000 0.0000 x1

---

No. 4
Entry from Alexandria: a geometry-optimized Si2TeCl structure (PBE-GGA).

Polymorph energy (0 for the lowest one)   110 meV per atom
Size of the total moment   0.00 μB per atom
Density   3.43 g cm⁻³
E_form (uncorrected)   -0.093 eV/atom

abc: 7.1247 3.4567 8.6352
angles: 90.00 94.48 90.00
Space group Cm (No. 8)
Asymmetric unit:
Si1 0.0000 0.0000 0.0000 x2
Si2 0.1854 0.5000 0.8782 x2
Te1 0.1815 0.0000 0.6535 x2
Cl1 0.4612 0.0000 0.2023 x2

---

No. 5
Entry from Alexandria: a geometry-optimized Si2TeCl structure (PBE-GGA).

Polymorph energy (0 for the lowest one)   549 meV per atom
Size of the total moment   0.00 μB per atom
Density   4.16 g cm⁻³
E_form (uncorrected)   0.346 eV/atom

abc: 3.5514 4.6829 10.5226
angles: 90.00 90.00 90.00
Space group Imm2 (No. 44)
Asymmetric unit:
Si1 0.0000 0.0000 0.0000 x2
Si2 0.0000 0.5000 0.3209 x2
Te1 0.0000 0.5000 0.7056 x2
Cl1 0.0000 0.0000 0.4853 x2

---

No. 6
Entry from Alexandria: a geometry-optimized Si2TeCl structure (PBE-GGA).

Polymorph energy (0 for the lowest one)   556 meV per atom
Size of the total moment   0.00 μB per atom
Density   3.85 g cm⁻³
E_form (uncorrected)   0.353 eV/atom

abc: 7.8101 7.9856 3.0299
angles: 90.00 90.21 90.00
Space group C2/m (No. 12)
Asymmetric unit:
Si1 0.2500 0.2500 0.0000 x4
Te1 0.0000 0.0000 0.0000 x2
Cl1 0.0000 0.5000 0.0000 x2

---

No. 7
Entry from Alexandria: a geometry-optimized SiTeCl structure (PBE-GGA).

Polymorph energy (0 for the lowest one)   644 meV per atom
Size of the total moment   0.00 μB per atom
Density   4.15 g cm⁻³
E_form (uncorrected)   0.122 eV/atom

abc: 6.7399 6.7399 6.7399
angles: 90.00 90.00 90.00
Space group F-43m (No. 216)
Asymmetric unit:
Si1 0.0000 0.0000 0.0000 x4
Te1 0.2500 0.2500 0.7500 x4
Cl1 0.2500 0.2500 0.2500 x4

---

No. 8
Entry from Alexandria: a geometry-optimized SiTeCl structure (PBE-GGA).

Polymorph energy (0 for the lowest one)   154 meV per atom
Size of the total moment   0.00 μB per atom
Density   3.12 g cm⁻³
E_form (uncorrected)   -0.369 eV/atom

abc: 3.7683 3.7683 14.3098
angles: 90.00 90.00 90.00
Space group I4mm (No. 107)
Asymmetric unit:
Si1 0.0000 0.0000 0.0000 x2
Te1 0.0000 0.0000 0.4440 x2
Cl1 0.0000 0.0000 0.1449 x2

---

No. 9
Entry from Alexandria: a geometry-optimized Si2TeCl structure (PBE-GGA).

Polymorph energy (0 for the lowest one)   524 meV per atom
Size of the total moment   0.00 μB per atom
Density   4.29 g cm⁻³
E_form (uncorrected)   0.322 eV/atom

abc: 3.0196 4.4277 6.3481
angles: 90.00 92.29 90.00
Space group P2/m (No. 10)
Asymmetric unit:
Si1 0.1180 0.0000 0.3047 x2
Te1 0.0000 0.5000 0.0000 x1
Cl1 0.5000 0.5000 0.5000 x1

---

No. 10
Entry from Alexandria: a geometry-optimized Si2Te2Cl structure (PBE-GGA).

Polymorph energy (0 for the lowest one)   115 meV per atom
Size of the total moment   0.00 μB per atom
Density   4.91 g cm⁻³
E_form (uncorrected)   0.162 eV/atom

abc: 7.8582 7.8582 3.8024
angles: 90.00 90.00 90.00
Space group P4/mbm (No. 127)
Asymmetric unit:
Si1 0.1792 0.3208 0.0000 x4
Te1 0.1478 0.6478 0.5000 x4
Cl1 0.0000 0.0000 0.0000 x2

---

No. 11
Entry from Alexandria: a geometry-optimized Si2Te2Cl structure (PBE-GGA).

Polymorph energy (0 for the lowest one)   0 meV per atom
Size of the total moment   0.00 μB per atom
Density   4.88 g cm⁻³
E_form (uncorrected)   0.047 eV/atom

abc: 5.2264 5.2264 8.6356
angles: 90.00 90.00 90.00
Space group I4/mmm (No. 139)
Asymmetric unit:
Si1 0.0000 0.0000 0.1419 x4
Te1 0.0000 0.5000 0.2500 x4
Cl1 0.0000 0.0000 0.5000 x2

---

No. 12
Entry from Alexandria: a geometry-optimized Si2TeCl structure (PBE-GGA).

Polymorph energy (0 for the lowest one)   535 meV per atom
Size of the total moment   0.00 μB per atom
Density   3.90 g cm⁻³
E_form (uncorrected)   0.333 eV/atom

abc: 7.9187 3.8548 6.2920
angles: 90.00 103.54 90.00
Space group C2/m (No. 12)
Asymmetric unit:
Si1 0.2281 0.0000 0.2544 x4
Te1 0.0000 0.5000 0.0000 x2
Cl1 0.0000 0.0000 0.5000 x2

---

No. 13
Entry from Alexandria: a geometry-optimized Si2TeCl structure (PBE-GGA).

Polymorph energy (0 for the lowest one)   603 meV per atom
Size of the total moment   0.00 μB per atom
Density   4.33 g cm⁻³
E_form (uncorrected)   0.401 eV/atom

abc: 6.9544 6.9544 6.9544
angles: 90.00 90.00 90.00
Space group Fm-3m (No. 225)
Asymmetric unit:
Si1 0.2500 0.2500 0.2500 x8
Te1 0.0000 0.0000 0.0000 x4
Cl1 0.0000 0.0000 0.5000 x4

---

No. 14
Entry from Alexandria: a geometry-optimized Si2TeCl structure (PBE-GGA).

Polymorph energy (0 for the lowest one)   633 meV per atom
Size of the total moment   0.00 μB per atom
Density   4.11 g cm⁻³
E_form (uncorrected)   0.431 eV/atom

abc: 3.5342 3.5342 7.0867
angles: 90.00 90.00 90.00
Space group P4/mmm (No. 123)
Asymmetric unit:
Si1 0.0000 0.0000 0.2278 x2
Te1 0.5000 0.5000 0.0000 x1
Cl1 0.5000 0.5000 0.5000 x1

---

No. 15
Entry from Alexandria: a geometry-optimized Y3SiTeCl structure (PBE-GGA).

Size of the total moment   0.04 μB per atom
Density   4.33 g cm⁻³
E_form (uncorrected)   -1.152 eV/atom

abc: 8.6419 4.1366 9.8405
angles: 90.00 93.72 90.00
Space group P2_1/m (No. 11)
Asymmetric unit:
Y1 0.0969 0.2500 0.3504 x2
Y2 0.1615 0.2500 0.9218 x2
Y3 0.3612 0.7500 0.6385 x2
Si1 0.1340 0.2500 0.6416 x2
Te1 0.3659 0.7500 0.3201 x2
Cl1 0.3641 0.7500 0.9261 x2

---

No. 16
Entry from Alexandria: a geometry-optimized Y8Si3Te4Cl structure (PBE-GGA).

Size of the total moment   0.00 μB per atom
Density   5.13 g cm⁻³
E_form (uncorrected)   -1.218 eV/atom

abc: 8.4175 8.4175 21.2255
angles: 90.00 90.00 120.00
Space group R-3m (No. 166, hexagonal axes)
Asymmetric unit:
Y1 0.0000 0.0000 0.2393 x6
Y2 0.0151 0.5075 0.7601 x18
Si1 0.0000 0.5000 0.5000 x9
Te1 0.0000 0.0000 0.0000 x3
Te2 0.0000 0.5000 0.0000 x9
Cl1 0.0000 0.0000 0.5000 x3

---

No. 17
Entry from Alexandria: a geometry-optimized Th6Si5Cl structure (PBE-GGA).

Size of the total moment   0.00 μB per atom
Density   7.99 g cm⁻³
E_form (uncorrected)   -0.778 eV/atom

abc: 7.3673 12.7394 7.3589
angles: 90.00 109.37 90.00
Space group C2/m (No. 12)
Asymmetric unit:
Th1 0.2416 0.0000 0.2555 x4
Th2 0.2420 0.1716 0.7423 x8
Si1 0.0000 0.0000 0.5000 x2
Si2 0.0000 0.1677 0.0000 x4
Si3 0.0000 0.3366 0.5000 x4
Cl1 0.0000 0.5000 0.0000 x2

---

No. 18
Entry from Alexandria: a geometry-optimized ThSiCl structure (PBE-GGA).

Size of the total moment   0.00 μB per atom
Density   6.08 g cm⁻³
E_form (uncorrected)   -1.287 eV/atom

abc: 7.1307 4.1169 11.2565
angles: 90.00 102.39 90.00
Space group C2/m (No. 12)
Asymmetric unit:
Th1 0.0579 0.0000 0.1710 x4
Si1 0.1666 0.5000 0.9999 x4
Cl1 0.2184 0.0000 0.6604 x4

---

No. 19
Entry from Alexandria: a geometry-optimized Th4Si2Cl3 structure (PBE-GGA).

Size of the total moment   0.00 μB per atom
Density   6.96 g cm⁻³
E_form (uncorrected)   -1.216 eV/atom

abc: 7.3371 4.2362 16.7362
angles: 90.00 90.05 90.00
Space group C2/m (No. 12)
Asymmetric unit:
Th1 0.0005 0.0000 0.2893 x4
Th2 0.1665 0.5000 0.8963 x4
Si1 0.1670 0.5000 0.1974 x4
Cl1 0.0000 0.0000 0.0000 x2
Cl2 0.1660 0.5000 0.6079 x4

---

No. 20
Entry from Alexandria: a geometry-optimized TiSiCl3 structure (PBE-GGA).

Polymorph energy (0 for the lowest one)   365 meV per atom
Size of the total moment   0.60 μB per atom
Density   2.41 g cm⁻³
E_form (uncorrected)   0.037 eV/atom

abc: 5.0087 5.0087 5.0087
angles: 90.00 90.00 90.00
Space group Pm-3m (No. 221)
Asymmetric unit:
Ti1 0.0000 0.0000 0.0000 x1
Si1 0.5000 0.5000 0.5000 x1
Cl1 0.0000 0.5000 0.5000 x3

---

No. 21
Entry from Alexandria: a geometry-optimized TiSiCl2 structure (PBE-GGA).

Polymorph energy (0 for the lowest one)   472 meV per atom
Size of the total moment   0.16 μB per atom
Density   2.97 g cm⁻³
E_form (uncorrected)   -0.083 eV/atom

abc: 3.1964 3.1964 27.8102
angles: 90.00 90.00 120.00
Space group R-3m (No. 166, hexagonal axes)
Asymmetric unit:
Ti1 0.0000 0.0000 0.0000 x3
Si1 0.0000 0.0000 0.5000 x3
Cl1 0.0000 0.0000 0.0818 x6

---

No. 22
Entry from Alexandria: a geometry-optimized TiSiCl2 structure (PBE-GGA).

Polymorph energy (0 for the lowest one)   692 meV per atom
Size of the total moment   0.48 μB per atom
Density   2.19 g cm⁻³
E_form (uncorrected)   0.137 eV/atom

abc: 6.4591 6.4591 10.6862
angles: 90.00 90.00 90.00
Space group I-42d (No. 122)
Asymmetric unit:
Ti1 0.0000 0.0000 0.0000 x4
Si1 0.0000 0.0000 0.5000 x4
Cl1 0.1686 0.2500 0.1250 x8

---

No. 23
Entry from Alexandria: a geometry-optimized TiSiCl2 structure (PBE-GGA).

Polymorph energy (0 for the lowest one)   634 meV per atom
Size of the total moment   0.07 μB per atom
Density   3.59 g cm⁻³
E_form (uncorrected)   0.078 eV/atom

abc: 6.4742 6.4742 6.4742
angles: 90.00 90.00 90.00
Space group Fm-3m (No. 225)
Asymmetric unit:
Ti1 0.0000 0.0000 0.0000 x4
Si1 0.0000 0.0000 0.5000 x4
Cl1 0.2500 0.2500 0.2500 x8

---

No. 24
Entry from Alexandria: a geometry-optimized TiSiCl2 structure (PBE-GGA).

Polymorph energy (0 for the lowest one)   0 meV per atom
Size of the total moment   0.00 μB per atom
Density   2.61 g cm⁻³
E_form (uncorrected)   -0.556 eV/atom

abc: 3.0948 3.0948 33.8371
angles: 90.00 90.00 120.00
Space group R-3m (No. 166, hexagonal axes)
Asymmetric unit:
Ti1 0.0000 0.0000 0.0000 x3
Si1 0.0000 0.0000 0.5000 x3
Cl1 0.0000 0.0000 0.3828 x6

---

No. 25
Entry from Alexandria: a geometry-optimized TiSiCl3 structure (PBE-GGA).

Polymorph energy (0 for the lowest one)   0 meV per atom
Size of the total moment   0.24 μB per atom
Density   2.64 g cm⁻³
E_form (uncorrected)   -0.328 eV/atom

abc: 4.8569 4.8569 4.8569
angles: 90.00 90.00 90.00
Space group Pm-3m (No. 221)
Asymmetric unit:
Ti1 0.0000 0.0000 0.0000 x1
Si1 0.5000 0.5000 0.5000 x1
Cl1 0.0000 0.0000 0.5000 x3

---

No. 26
Entry from Alexandria: a geometry-optimized ZrTiSi2Cl structure (PBE-GGA).

Size of the total moment   0.00 μB per atom
Density   3.84 g cm⁻³
E_form (uncorrected)   0.764 eV/atom

abc: 4.6519 4.6519 4.6100
angles: 90.00 90.00 90.00
Space group P4/mmm (No. 123)
Asymmetric unit:
Zr1 0.0000 0.0000 0.0000 x1
Ti1 0.5000 0.5000 0.0000 x1
Si1 0.0000 0.5000 0.5000 x2
Cl1 0.0000 0.0000 0.5000 x1

---

No. 27
Entry from Alexandria: a geometry-optimized TlSi2Cl structure (PBE-GGA).

Polymorph energy (0 for the lowest one)   551 meV per atom
Size of the total moment   0.00 μB per atom
Density   5.84 g cm⁻³
E_form (uncorrected)   0.444 eV/atom

abc: 6.9554 6.9554 6.9554
angles: 90.00 90.00 90.00
Space group F-43m (No. 216)
Asymmetric unit:
Tl1 0.0000 0.0000 0.0000 x4
Si1 0.0000 0.0000 0.5000 x4
Si2 0.2500 0.2500 0.7500 x4
Cl1 0.2500 0.2500 0.2500 x4

---

No. 28
Entry from Alexandria: a geometry-optimized TlSiCl2 structure (PBE-GGA).

Polymorph energy (0 for the lowest one)   0 meV per atom
Size of the total moment   0.00 μB per atom
Density   4.33 g cm⁻³
E_form (uncorrected)   -0.367 eV/atom

abc: 11.6792 3.2964 6.4648
angles: 90.00 110.88 90.00
Space group Cm (No. 8)
Asymmetric unit:
Tl1 0.0000 0.0000 0.0000 x2
Si1 0.3880 0.0000 0.5520 x2
Cl1 0.0686 0.5000 0.5413 x2
Cl2 0.2993 0.5000 0.2212 x2